Record 1
## Na4LiZr3Se8 (PBE-GGA)

Data for an optimized crystal structure of Na4LiZr3Se8.

Properties
Its space group is R-3m (166). Its uncorrected formation energy is -1.30 eV per atom.

abc: 7.843 8.337 7.844
angles: 118.07 119.99 90.00
Atoms (fractional coordinates):
Se 0.735 0.719 0.977
Se 0.242 0.719 0.484
Se 0.758 0.281 0.516
Se 0.758 0.281 0.023
Se 0.742 0.726 0.484
Se 0.265 0.281 0.023
Se 0.258 0.274 0.516
Se 0.242 0.719 0.977
Na 0.000 0.000 0.000
Na 0.500 0.000 0.500
Na 0.000 0.000 0.500
Na 0.500 0.000 0.000
Li 0.000 0.500 0.000
Zr 0.500 0.500 0.000
Zr 0.500 0.500 0.500
Zr 0.000 0.500 0.500

---

Record 2
## Zn5InAu6 (PBE-GGA)

Data for an optimized crystal structure of Zn5InAu6.

Properties
Its space group is P2/m (10).

abc: 4.429 6.890 6.970
angles: 90.00 106.83 90.00
Atoms (fractional coordinates):
Au 0.500 0.732 0.000
Au 0.177 0.257 0.344
Au 0.823 0.257 0.656
Au 0.177 0.743 0.344
Au 0.823 0.743 0.656
Au 0.500 0.268 0.000
Zn 0.000 0.500 0.000
Zn 0.672 0.500 0.332
Zn 0.328 0.500 0.668
Zn 0.672 0.000 0.337
Zn 0.328 0.000 0.663
In 0.000 0.000 0.000

---

Record 3
## SrYPt2 (PBE-GGA)

Data for an optimized crystal structure of SrYPt2.

Properties
Its space group is R-3m (166). Its excess energy over the best structure of this formula in the dataset is 139 meV/atom.

abc: 7.364 7.364 7.364
angles: 33.11 33.11 33.11
Atoms (fractional coordinates):
Y 0.750 0.750 0.750
Sr 0.250 0.250 0.250
Pt 0.490 0.490 0.490
Pt 0.010 0.010 0.010

---

Record 4
## TlCd2Ni (PBE-GGA)

Data for an optimized crystal structure of TlCd2Ni.

Properties
Its space group is P4/mmm (123). Its excess energy over the best structure of this formula in the dataset is 171 meV/atom.

abc: 4.229 4.229 4.448
angles: 90.00 90.00 90.00
Atoms (fractional coordinates):
Cd 0.500 0.500 0.000
Cd 0.000 0.000 0.000
Ni 0.500 0.000 0.500
Tl 0.000 0.500 0.500

---

no.,magnetization (μB per atom),total energy (hartree per atom)
1,0.000,-0.1872
2,0.000,-0.0945
3,0.000,-0.2183
4,0.000,-0.0822